Entry from the Open Quantum Materials Database: crystalline ScCoNO at its relaxed geometry (GGA+U). Values from VASP.

Relative energy among the computed polymorphs ... 2.12 kJ/mol of atoms

Geometry as Quantum ESPRESSO input:
```
&SYSTEM
  ibrav = 0, nat = 8, ntyp = 4
/
ATOMIC_SPECIES
Co 58.93 Co.upf
N 14.01 N.upf
O 16.00 O.upf
Sc 44.96 Sc.upf
ATOMIC_POSITIONS crystal
Co 0.750 0.750 0.001
Co 0.250 0.250 0.999
N 0.250 0.250 0.499
N 0.750 0.750 0.501
O 0.750 0.250 0.000
O 0.250 0.750 0.000
Sc 0.750 0.250 0.500
Sc 0.250 0.750 0.500
CELL_PARAMETERS angstrom
4.370 0.000 0.000
0.000 4.370 0.000
0.000 0.000 4.349
```